1.
This record from Alexandria describes crystalline TiFeReOs2 at its relaxed geometry. The functional is PBE.

Cell lengths 4.7024, 4.7024, 4.6246 Å; angles 90.00, 90.00, 90.00 degrees
Last column: nearest neighbours and their distance in Å.
Space group P4/mmm (No. 123)
Asymmetric unit:
Ti 0.0000 0.0000 0.0000 [1 per cell]  2 Re 2.31
Fe 0.5000 0.5000 0.0000 [1 per cell]  8 Os 3.30, 4 Ti 3.33
Re 0.0000 0.0000 0.5000 [1 per cell]  2 Ti 2.31, 4 Os 2.35
Os 0.0000 0.5000 0.5000 [2 per cell]  2 Re 2.35

**Total DFT energy (no corrections)**: -8.516 eV per atom
**N(E_F)**: 6.1 states/eV/f.u.
**Magnetization**: 0.688 μB/atom



2.
This record from Alexandria describes crystalline Sr5UN6 at its relaxed geometry. The functional is PBE.

Cell lengths 6.4240, 11.1815, 6.3789 Å; angles 90.00, 109.52, 90.00 degrees
Last column: nearest neighbours and their distance in Å.
Space group C2/m (No. 12)
Asymmetric unit:
Sr 0.0000 0.0000 0.0000 [2 per cell]  4 N 2.61
Sr 0.0000 0.1674 0.5000 [4 per cell]  6 N 2.67-2.68
Sr 0.0000 0.3353 0.0000 [4 per cell]  4 N 2.60-2.63
U 0.0000 0.5000 0.5000 [2 per cell]  6 N 2.16-2.26
N 0.2040 0.5000 0.2906 [4 per cell]  1 U 2.16
N 0.2158 0.3588 0.7221 [8 per cell]  1 U 2.26

**Formation energy from raw total energies**: -0.796 eV per atom
**N(E_F)**: 13.2 states/eV/f.u.
**Magnetization**: 0.178 μB/atom



3.
This record from Alexandria describes crystalline NdPuSc2Se4 at its relaxed geometry. The functional is PBE.

Cell lengths 6.9613, 3.9908, 7.0383 Å; angles 90.00, 108.88, 90.00 degrees
Last column: nearest neighbours and their distance in Å.
Space group P2/m (No. 10)
Asymmetric unit:
Nd 0.0000 0.0000 0.0000 [1 per cell]  6 Se 2.95-2.96
Pu 0.5000 0.5000 0.0000 [1 per cell]  6 Se 2.93
Sc 0.0000 0.5000 0.5000 [1 per cell]  6 Se 2.77
Sc 0.5000 0.0000 0.5000 [1 per cell]  6 Se 2.74-2.75
Se 0.2457 0.0000 0.7275 [2 per cell]  3 Sc 2.74-2.77, 2 Pu 2.93, 1 Nd 2.95
Se 0.2617 0.5000 0.2754 [2 per cell]  3 Sc 2.75-2.77, 1 Pu 2.93, 2 Nd 2.96

**Formation energy from raw total energies**: -1.642 eV per atom
**N(E_F)**: 10.1 states/eV/f.u.
**Magnetization**: 0.740 μB/atom



4.
This record from Alexandria describes crystalline PmPb2Au at its relaxed geometry. The functional is PBE.

Cell lengths 5.0423, 5.0423, 16.9570 Å; angles 90.00, 90.00, 90.00 degrees
Last column: nearest neighbours and their distance in Å.
Space group I4/mmm (No. 139)
Asymmetric unit:
Pm 0.0000 0.0000 0.1403 [4 per cell]  4 Au 3.13, 4 Pb 3.47
Pb 0.0000 0.0000 0.3586 [4 per cell]  4 Au 3.12, 4 Pb 3.48
Pb 0.0000 0.5000 0.0000 [4 per cell]  4 Pm 3.47, 8 Pb 3.48-3.57
Au 0.0000 0.5000 0.2500 [4 per cell]  4 Pb 3.12, 4 Pm 3.13

**Total DFT energy (no corrections)**: -4.345 eV per atom
**N(E_F)**: 1.5 states/eV/f.u.
**Magnetization**: 0.000 μB/atom



5.
This record from Alexandria describes crystalline La8P3S4Cl at its relaxed geometry. The functional is PBE.

Cell lengths 8.4304, 8.4304, 20.5352 Å; angles 90.00, 90.00, 120.00 degrees
Last column: nearest neighbours and their distance in Å.
Space group R-3m (No. 166, hexagonal axes)
Asymmetric unit:
La 0.0000 0.0000 0.2483 [6 per cell]  3 P 2.96, 3 S 2.99
La 0.0143 0.5072 0.7487 [18 per cell]  3 S 2.87-3.00, 2 P 2.95, 1 Cl 3.08
P 0.0000 0.5000 0.5000 [9 per cell]  6 La 2.95-2.96
S 0.0000 0.0000 0.0000 [3 per cell]  6 La 2.87
S 0.0000 0.5000 0.0000 [9 per cell]  6 La 2.99-3.00
Cl 0.0000 0.0000 0.5000 [3 per cell]  6 La 3.08

**Formation energy from raw total energies**: -1.930 eV per atom
**N(E_F)**: 9.8 states/eV/f.u.
**Magnetization**: 0.000 μB/atom



6.
This record from Alexandria describes crystalline FeSi4Br at its relaxed geometry. The functional is PBE.

Cell lengths 7.3663, 7.3663, 7.3663 Å; angles 90.00, 90.00, 90.00 degrees
Last column: nearest neighbours and their distance in Å.
Space group F-43m (No. 216)
Asymmetric unit:
Fe 0.0000 0.0000 0.0000 [4 per cell]  12 Si 3.06, 4 Br 3.19
Si 0.1243 0.1243 0.6243 [16 per cell]  6 Si 2.59-2.62
Br 0.2500 0.2500 0.2500 [4 per cell]  12 Si 3.05, 4 Fe 3.19

**Formation energy from raw total energies**: 0.723 eV per atom
**N(E_F)**: 4.3 states/eV/f.u.
**Magnetization**: 0.568 μB/atom



7.
This record from Alexandria describes crystalline MnP2Pb at its relaxed geometry. The functional is PBE.

Cell lengths 6.7383, 6.7383, 6.7383 Å; angles 90.00, 90.00, 90.00 degrees
Last column: nearest neighbours and their distance in Å.
Space group F-43m (No. 216)
Asymmetric unit:
Mn 0.0000 0.0000 0.0000 [4 per cell]  4 P 2.92, 4 Pb 2.92
P 0.0000 0.0000 0.5000 [4 per cell]  4 Pb 2.92, 4 P 2.92
P 0.2500 0.2500 0.7500 [4 per cell]  4 Mn 2.92, 4 P 2.92
Pb 0.2500 0.2500 0.2500 [4 per cell]  4 Mn 2.92, 4 P 2.92

**Total DFT energy (no corrections)**: -5.224 eV per atom
**N(E_F)**: 2.7 states/eV/f.u.
**Magnetization**: 1.027 μB/atom



8.
This record from Alexandria describes crystalline TaSiNi2 at its relaxed geometry. The functional is PBE.

Cell lengths 2.7719, 2.7719, 24.3856 Å; angles 90.00, 90.00, 120.00 degrees
Last column: nearest neighbours and their distance in Å.
Space group R3m (No. 160, hexagonal axes)
Asymmetric unit:
Ta 0.0000 0.0000 0.0000 [3 per cell]  3 Ni 2.67, 6 Ta 2.77, 3 Si 2.77
Si 0.0000 0.0000 0.2405 [3 per cell]  3 Ni 2.36
Ni 0.0000 0.0000 0.5027 [3 per cell]  3 Si 2.36, 3 Ni 2.56
Ni 0.0000 0.0000 0.7541 [3 per cell]  9 Ni 2.56-2.77, 3 Ta 2.67

**Formation energy from raw total energies**: -0.036 eV per atom
**N(E_F)**: 4.3 states/eV/f.u.
**Magnetization**: 0.000 μB/atom



9.
This record from Alexandria describes crystalline LiNiB2 at its relaxed geometry. The functional is PBE.

Cell lengths 3.3787, 3.3787, 13.0800 Å; angles 90.00, 90.00, 120.00 degrees
Last column: nearest neighbours and their distance in Å.
Space group R-3m (No. 166, hexagonal axes)
Asymmetric unit:
Li 0.0000 0.0000 0.0000 [3 per cell]  2 B 2.31
Ni 0.0000 0.0000 0.5000 [3 per cell]  6 B 1.95
B 0.0000 0.0000 0.1764 [6 per cell]  3 Ni 1.95, 3 B 1.97

**Total DFT energy (no corrections)**: -5.331 eV per atom
**N(E_F)**: 0.8 states/eV/f.u.
**Magnetization**: 0.000 μB/atom



10.
This record from Alexandria describes crystalline TmPu2ReC4 at its relaxed geometry. The functional is PBE.

Cell lengths 3.4271, 11.5215, 12.4225 Å; angles 90.00, 90.00, 90.00 degrees
Last column: nearest neighbours and their distance in Å.
Space group Cmcm (No. 63)
Asymmetric unit:
Tm 0.0000 0.1119 0.2500 [4 per cell]  6 C 2.59-2.69
Pu 0.0000 0.3666 0.0352 [8 per cell]  5 C 2.34-2.56
Re 0.0000 0.1532 0.7500 [4 per cell]  4 C 1.92-2.04
C 0.0000 0.0000 0.0000 [4 per cell]  4 Pu 2.34
C 0.0000 0.2611 0.6318 [8 per cell]  1 Re 1.92
C 0.0000 0.4432 0.2500 [4 per cell]  2 Re 2.04

**Total DFT energy (no corrections)**: -10.237 eV per atom
**N(E_F)**: 12.2 states/eV/f.u.
**Magnetization**: 1.157 μB/atom



11.
This record from Alexandria describes crystalline Ac2La4Y at its relaxed geometry. The functional is PBE.

Cell lengths 7.5704, 8.4345, 9.2693 Å; angles 69.17, 89.83, 77.02 degrees
Last column: nearest neighbours and their distance in Å.
Space group P-1 (No. 2)
Asymmetric unit:
Ac 0.0000 0.0000 0.0000 [1 per cell]  4 Ac 3.79-3.82, 2 Y 3.81, 6 La 3.82-3.84
Ac 0.0723 0.7164 0.4306 [2 per cell]  8 La 3.74-3.85, 2 Y 3.74-3.80, 2 Ac 3.82
Ac 0.5000 0.0000 0.0000 [1 per cell]  2 Y 3.78, 8 La 3.78-3.83, 2 Ac 3.79
La 0.1425 0.4341 0.8585 [2 per cell]  6 La 3.71-3.81, 2 Y 3.75-3.80, 4 Ac 3.80-3.85
La 0.2920 0.8542 0.7125 [2 per cell]  5 La 3.70-3.85, 3 Y 3.72-3.85, 4 Ac 3.74-3.82
La 0.3609 0.5644 0.1450 [2 per cell]  8 La 3.70-3.85, 1 Y 3.71, 3 Ac 3.81-3.84
La 0.4293 0.2836 0.5731 [2 per cell]  6 La 3.72-3.81, 2 Y 3.75-3.79, 4 Ac 3.77-3.81
Y 0.2160 0.1463 0.2860 [2 per cell]  8 La 3.71-3.85, 4 Ac 3.74-3.81

**Total DFT energy (no corrections)**: -4.889 eV per atom
**N(E_F)**: 12.6 states/eV/f.u.
**Magnetization**: 0.000 μB/atom



12.
This record from Alexandria describes crystalline HRuRh at its relaxed geometry. The functional is PBE.

Cell lengths 5.4353, 2.7644, 8.8405 Å; angles 90.00, 90.00, 90.00 degrees
Last column: nearest neighbours and their distance in Å.
Space group Pnma (No. 62)
Asymmetric unit:
H 0.1200 0.2500 0.2434 [4 per cell]  2 Rh 1.89, 2 Ru 1.93
Ru 0.1291 0.7500 0.0919 [4 per cell]  2 H 1.93
Rh 0.1230 0.7500 0.3896 [4 per cell]  2 H 1.89

**Total DFT energy (no corrections)**: -6.464 eV per atom
**N(E_F)**: 2.5 states/eV/f.u.
**Magnetization**: 0.000 μB/atom